# 1
A relaxed structure of AgHgAsO3. Source: OQMD via LeMat-Bulk, functional PBE.

Calculated values
total energy	-0.1607	Ha/atom

abc: 5.895 5.895 6.730
angles: 99.28 99.28 122.61
Element x y z (fractional)
Ag  0.033  0.967  0.500
Ag  0.967  0.033  0.000
Hg  0.293  0.648  0.944
Hg  0.648  0.293  0.444
As  0.313  0.612  0.442
As  0.612  0.313  0.942
O  0.257  0.992  0.821
O  0.265  0.796  0.265
O  0.544  0.565  0.324
O  0.565  0.544  0.824
O  0.796  0.265  0.765
O  0.992  0.257  0.321


# 2
A relaxed structure of Zr2Nb4In3N3. Source: OQMD via LeMat-Bulk, functional PBE.

Calculated values
total energy	-0.3043	Ha/atom
total moment	0.0	μB per formula unit

abc: 5.618 5.618 14.705
angles: 100.97 100.97 60.19
Element x y z (fractional)
Zr  0.030  0.862  0.590
Zr  0.138  0.970  0.910
Zr  0.862  0.030  0.090
Zr  0.970  0.138  0.410
Nb  0.194  0.363  0.078
Nb  0.312  0.469  0.422
Nb  0.363  0.194  0.578
Nb  0.469  0.312  0.922
Nb  0.531  0.688  0.078
Nb  0.637  0.806  0.422
Nb  0.688  0.531  0.578
Nb  0.806  0.637  0.922
In  0.082  0.281  0.749
In  0.281  0.082  0.249
In  0.446  0.554  0.750
In  0.554  0.446  0.250
In  0.719  0.918  0.751
In  0.918  0.719  0.251
N  0.000  0.500  0.500
N  0.160  0.680  0.000
N  0.320  0.840  0.500
N  0.500  0.000  0.000
N  0.680  0.160  0.500
N  0.840  0.320  0.000


# 3
A relaxed structure of Co2CuGe. Source: OQMD via LeMat-Bulk, functional PBE.

Calculated values
total energy	-0.2023	Ha/atom
total moment	0.0	μB per formula unit

abc: 4.041 4.041 4.041
angles: 60.00 60.00 60.00
Element x y z (fractional)
Co  0.000  0.000  0.000
Co  0.250  0.250  0.250
Cu  0.750  0.750  0.750
Ge  0.500  0.500  0.500